No. 1
Entry from the Alexandria database: a geometry-optimized InNiAu2 structure (PBE-GGA).

abc: 5.609 5.609 2.993
angles: 75.38 75.38 120.10
Fractional positions:
Au: 0.000 0.000 0.000
Au: 0.500 0.500 0.000
In: 0.500 0.000 0.500
Ni: 0.000 0.500 0.500

Computed properties:
Energy relative to the elements   0.044 eV/atom
Density of states at the Fermi level   2.1 states/eV/cell

---

No. 2
Entry from the Alexandria database: a geometry-optimized ErNpSi structure (PBE-GGA).

abc: 2.932 10.132 8.272
angles: 90.00 90.00 90.00
Last column: magnetic moment on the atom in μB.
Fractional positions:
Np: 0.500 0.970 0.797  1.30
Np: 0.500 0.255 0.297  1.25
Np: 0.500 0.470 0.203  1.30
Np: 0.500 0.755 0.703  1.25
Si: 0.000 0.045 0.103  -0.02
Si: 0.000 0.180 0.603  -0.02
Si: 0.000 0.680 0.397  -0.02
Si: 0.000 0.545 0.897  -0.02
Er: 0.500 0.950 0.412  0.02
Er: 0.500 0.275 0.912  0.02
Er: 0.500 0.775 0.088  0.02
Er: 0.500 0.450 0.588  0.02

Computed properties:
Formation energy without anion corrections   -0.0205 eV/atom
Density of states at the Fermi level   20.8 states/eV/cell

---

No. 3
Entry from the Alexandria database: a geometry-optimized CeYHoLu structure (PBE-GGA).

abc: 5.621 5.621 5.621
angles: 60.00 60.00 60.00
Last column: magnetic moment on the atom in μB.
Fractional positions:
Y: 0.750 0.750 0.750  0.02
Lu: 0.000 0.000 0.000  0.03
Ho: 0.500 0.500 0.500  0.05
Ce: 0.250 0.250 0.250  0.60

Computed properties:
Energy relative to the elements   0.148 eV/atom
Density of states at the Fermi level   8.7 states/eV/cell

---

No. 4
Entry from the Alexandria database: a geometry-optimized SrTe2RuCl structure (PBE-GGA).

abc: 6.198 5.312 6.198
angles: 90.00 90.00 90.00
Last column: magnetic moment on the atom in μB.
Fractional positions:
Ru: 0.500 0.500 0.500  2.89
Te: 0.000 0.000 0.500  0.07
Te: 0.500 0.000 0.000  0.05
Cl: 0.000 0.500 0.000  0.03
Sr: 0.000 0.000 0.000  0.00

Computed properties:
Energy above the lowest structure with this stoichiometry   0 meV per atom
Formation energy without anion corrections   0.5624 eV/atom
Density of states at the Fermi level   15.8 states/eV/cell

---

No. 5
Entry from the Alexandria database: a geometry-optimized ErTlAu structure (PBE-GGA).

abc: 3.397 4.884 4.884
angles: 120.00 90.00 90.00
Fractional positions:
Tl: 0.167 0.000 0.000
Au: 0.166 0.333 0.667
Er: 0.667 0.667 0.333

Computed properties:
Energy relative to the elements   -0.472 eV/atom
Density of states at the Fermi level   1.2 states/eV/cell

---

No. 6
Entry from the Alexandria database: a geometry-optimized Y2Al2Tc2C structure (PBE-GGA).

abc: 3.443 5.975 6.673
angles: 72.13 89.96 73.19
Fractional positions:
Y: 0.494 0.013 0.739
Y: 0.506 0.987 0.261
Al: 0.802 0.396 0.367
Al: 0.198 0.604 0.633
Tc: 0.819 0.361 0.918
Tc: 0.181 0.639 0.082
C: 0.000 0.000 0.000

Computed properties:
Energy relative to the elements   -0.336 eV/atom
Density of states at the Fermi level   3.6 states/eV/cell

---

Q: Which of these has the lowest density of states at the Fermi level?
A: ErTlAu